1.
The following is a DFT calculation (PBE) of ScNbAs2Br after structural relaxation.

Output
ρ: 4.751 Mg/m³
formation energy from raw total energies: 0.04 eV/atom
D(E_F): 0.925 states/eV/atom
crystal system: tetragonal

Cell lengths 5.0168, 5.0168, 5.1055 Å; angles 90.00, 90.00, 90.00 degrees
With the nearest neighbours (Å) after each atom.
Atoms (fractional coordinates):
1 Sc 0.0000 0.0000 0.0000  4 Br 3.55, 8 As 3.58
2 Nb 0.5000 0.5000 0.5000  4 As 2.51, 2 Br 2.55
3 As 0.0000 0.5000 0.5000  2 Nb 2.51
4 As 0.5000 0.0000 0.5000  2 Nb 2.51
5 Br 0.5000 0.5000 0.0000  2 Nb 2.55

2.
The following is a DFT calculation (PBE) of Nd2BePt3 after structural relaxation.

Output
ρ: 11.611 Mg/m³
formation enthalpy at 0 K: -961.5 meV/atom
D(E_F): 0.544 states/eV/atom
crystal system: orthorhombic

Cell lengths 8.6102, 8.4634, 5.8177 Å; angles 71.44, 68.72, 39.83 degrees
With the nearest neighbours (Å) after each atom.
Atoms (fractional coordinates):
1 Nd 0.2500 0.2500 0.2500  8 Pt 3.08-3.11, 4 Be 3.16
2 Nd 0.2498 0.7502 0.7502  10 Pt 3.06-3.37, 2 Be 3.20
3 Nd 0.7502 0.2498 0.2498  10 Pt 3.06-3.37, 2 Be 3.20
4 Nd 0.7500 0.7500 0.7500  8 Pt 3.08-3.11, 4 Be 3.16
5 Be 0.1683 0.1683 0.8317  3 Pt 2.23-2.24
6 Be 0.8317 0.8317 0.1683  3 Pt 2.23-2.24
7 Pt 0.1328 0.6857 0.3143  1 Be 2.23
8 Pt 0.3143 0.8672 0.1328  1 Be 2.23
9 Pt 0.3178 0.3178 0.6822  1 Be 2.24
10 Pt 0.6822 0.6822 0.3178  1 Be 2.24
11 Pt 0.6857 0.1328 0.8672  1 Be 2.23
12 Pt 0.8672 0.3143 0.6857  1 Be 2.23

3.
The following is a DFT calculation (PBE) of PIrAuC after structural relaxation.

Output
ρ: 11.930 Mg/m³
formation enthalpy at 0 K: 417.2 meV/atom
D(E_F): 0.513 states/eV/atom
crystal system: triclinic

Cell lengths 2.9210, 3.5093, 6.0584 Å; angles 103.57, 91.73, 93.99 degrees
With the nearest neighbours (Å) after each atom.
Atoms (fractional coordinates):
1 P 0.0000 0.0000 0.0000  2 C 1.79
2 Ir 0.5418 0.5775 0.7003  2 C 2.00-2.13
3 Au 0.0239 0.9239 0.3805  1 P 2.38
4 C 0.5075 0.1715 0.8836  2 P 1.79

4.
The following is a DFT calculation (PBE) of K2TaCu after structural relaxation.

Output
ρ: 5.495 Mg/m³
formation enthalpy at 0 K: 1092.2 meV/atom
D(E_F): 0.681 states/eV/atom
crystal system: orthorhombic

Cell lengths 3.4432, 4.8360, 11.7131 Å; angles 90.00, 90.00, 90.00 degrees
With the nearest neighbours (Å) after each atom.
Atoms (fractional coordinates):
1 K 0.0000 0.0000 0.2263  4 K 2.97, 2 Cu 3.16
2 K 0.0000 0.0000 0.7737  4 K 2.97, 2 Cu 3.16
3 K 0.5000 0.5000 0.2263  4 K 2.97, 2 Cu 3.16
4 K 0.5000 0.5000 0.7737  4 K 2.97, 2 Cu 3.16
5 Ta 0.0000 0.5000 0.5000  4 Ta 2.97
6 Ta 0.5000 0.0000 0.5000  4 Ta 2.97
7 Cu 0.0000 0.5000 0.0000  4 Cu 2.97, 4 K 3.16
8 Cu 0.5000 0.0000 0.0000  4 Cu 2.97, 4 K 3.16

5.
The following is a DFT calculation (PBE) of MgIn3Ni after structural relaxation.

Output
ρ: 5.690 Mg/m³
formation enthalpy at 0 K: 31.4 meV/atom
D(E_F): 0.438 states/eV/atom
crystal system: cubic

Cell lengths 4.9965, 4.9965, 4.9965 Å; angles 90.00, 90.00, 90.00 degrees
With the nearest neighbours (Å) after each atom.
Atoms (fractional coordinates):
1 Mg 0.0000 0.0000 0.0000  12 In 3.53
2 In 0.0000 0.5000 0.5000  2 Ni 2.50
3 In 0.5000 0.0000 0.5000  2 Ni 2.50
4 In 0.5000 0.5000 0.0000  2 Ni 2.50
5 Ni 0.5000 0.5000 0.5000  6 In 2.50

6.
The following is a DFT calculation (PBE) of LaNd9Sc2 after structural relaxation.

Output
ρ: 6.323 Mg/m³
formation enthalpy at 0 K: 37.7 meV/atom
D(E_F): 1.730 states/eV/atom
crystal system: tetragonal

Cell lengths 5.1025, 5.1025, 15.4024 Å; angles 90.00, 90.00, 90.00 degrees
With the nearest neighbours (Å) after each atom.
Atoms (fractional coordinates):
1 La 0.0000 0.0000 0.0000  12 Nd 3.61-3.70
2 Nd 0.0000 0.5000 0.1744  2 Sc 3.57, 8 Nd 3.59-3.70, 2 La 3.70
3 Nd 0.0000 0.5000 0.5000  8 Nd 3.56-3.61, 4 Sc 3.58
4 Nd 0.0000 0.5000 0.8256  2 Sc 3.57, 8 Nd 3.59-3.70, 2 La 3.70
5 Nd 0.5000 0.0000 0.1744  2 Sc 3.57, 8 Nd 3.59-3.70, 2 La 3.70
6 Nd 0.5000 0.0000 0.5000  8 Nd 3.56-3.61, 4 Sc 3.58
7 Nd 0.5000 0.0000 0.8256  2 Sc 3.57, 8 Nd 3.59-3.70, 2 La 3.70
8 Nd 0.5000 0.5000 0.0000  4 La 3.61, 8 Nd 3.70
9 Nd 0.5000 0.5000 0.3385  8 Nd 3.56-3.59, 4 Sc 3.61
10 Nd 0.5000 0.5000 0.6615  8 Nd 3.56-3.59, 4 Sc 3.61
11 Sc 0.0000 0.0000 0.3367  12 Nd 3.57-3.61
12 Sc 0.0000 0.0000 0.6633  12 Nd 3.57-3.61